Entry 1:
{
  "formula": "Ca4Al6SO16",
  "functional": "meta-GGA SCAN",
  "state": "single point on PBEsol structure",
  "cell": [[-1.7326, -3.9087, 6.6075], [-3.6664, -3.3828, -6.0872], [7.7772, -0.1806, -1.1922]],
  "species": ["Ca", "Ca", "Ca", "Ca", "Al", "Al", "Al", "Al", "Al", "Al", "S", "O", "O", "O", "O", "O", "O", "O", "O", "O", "O", "O", "O", "O", "O", "O", "O"],
  "fractional_positions": [[0.0000, 0.0000, 0.6272], [0.0000, 0.6272, 0.0000], [0.3728, 0.3728, 0.3728], [0.6272, 0.0000, 0.0000], [0.7500, 0.5000, 0.2500], [0.2500, 0.7500, 0.5000], [0.5000, 0.2500, 0.7500], [0.2500, 0.5000, 0.7500], [0.5000, 0.7500, 0.2500], [0.7500, 0.2500, 0.5000], [0.0000, 0.0000, 0.0000], [0.0000, 0.4273, 0.7191], [0.2917, 0.5727, 0.5727], [0.0000, 0.7191, 0.4273], [0.4273, 0.7191, 0.0000], [0.4273, 0.0000, 0.7191], [0.5727, 0.2917, 0.5727], [0.7191, 0.4273, 0.0000], [0.2809, 0.7083, 0.2809], [0.2809, 0.2809, 0.7083], [0.7191, 0.0000, 0.4273], [0.5727, 0.5727, 0.2917], [0.1891, 0.0000, 0.0000], [0.8109, 0.8109, 0.8109], [0.0000, 0.0000, 0.1891], [0.0000, 0.1891, 0.0000], [0.7083, 0.2809, 0.2809]],
  "sg": "I-43m",
  "magmom_total_mub_per_cell": 0.00,
  "e_form_raw_ev_per_atom": -3.133,
  "e_above_lowest_polymorph_ev_per_atom": 0.0278
}

Entry 2:
{
  "formula": "CaAlSeO2",
  "functional": "meta-GGA SCAN",
  "state": "single point on PBEsol structure",
  "cell": [[-1.7530, -1.4537, 3.4791], [-1.7271, -3.1011, -2.1660], [4.2594, -2.9966, 0.8941]],
  "species": ["O", "O", "Ca", "Al", "Se"],
  "fractional_positions": [[0.0000, 0.5000, 0.0000], [0.5000, 0.0000, 0.0000], [0.0000, 0.0000, 0.5000], [0.5000, 0.5000, 0.5000], [0.0000, 0.0000, 0.0000]],
  "sg": "P4/mmm",
  "magmom_total_mub_per_cell": 0.00,
  "e_form_raw_ev_per_atom": 0.001
}

Entry 3:
{
  "formula": "CaAl2SiO6",
  "functional": "meta-GGA SCAN",
  "state": "single point on PBEsol structure",
  "cell": [[5.2703, -0.0021, -0.0019], [1.3301, 6.3377, 0.0039], [1.3301, 0.4613, 6.3209]],
  "species": ["Ca", "Ca", "Al", "Al", "Al", "Al", "Si", "Si", "O", "O", "O", "O", "O", "O", "O", "O", "O", "O", "O", "O"],
  "fractional_positions": [[0.7606, 0.6778, 0.3059], [0.2606, 0.3059, 0.6778], [0.7919, 0.1902, 0.3874], [0.2919, 0.3874, 0.1902], [0.7389, 0.0887, 0.9112], [0.2389, 0.9112, 0.0887], [0.7167, 0.6177, 0.8118], [0.2167, 0.8118, 0.6177], [0.8755, 0.0237, 0.1723], [0.6782, 0.0849, 0.6419], [0.0281, 0.3404, 0.3930], [0.6249, 0.8002, 0.9809], [0.7976, 0.3731, 0.8913], [0.4877, 0.6426, 0.6651], [0.1249, 0.9809, 0.8002], [0.2976, 0.8913, 0.3731], [0.9877, 0.6651, 0.6426], [0.3755, 0.1723, 0.0237], [0.1782, 0.6419, 0.0849], [0.5281, 0.3930, 0.3404]],
  "sg": "Cc",
  "magmom_total_mub_per_cell": 0.00,
  "e_form_raw_ev_per_atom": -3.297
}

Entry 4:
{
  "formula": "CaAl2SiO6",
  "functional": "meta-GGA SCAN",
  "state": "single point on PBEsol structure",
  "cell": [[5.2857, 0.0000, -0.0052], [0.0000, 8.6602, 0.0000], [-2.5194, 0.0000, 9.2835]],
  "species": ["Ca", "Ca", "Ca", "Ca", "Al", "Al", "Al", "Al", "Al", "Al", "Al", "Al", "Si", "Si", "Si", "Si", "O", "O", "O", "O", "O", "O", "O", "O", "O", "O", "O", "O", "O", "O", "O", "O", "O", "O", "O", "O", "O", "O", "O", "O"],
  "fractional_positions": [[0.4857, 0.0620, 0.2320], [0.0143, 0.5620, 0.7680], [0.9857, 0.4380, 0.2320], [0.5143, 0.9380, 0.7680], [0.1683, 0.8477, 0.9620], [0.3317, 0.3477, 0.0380], [0.8317, 0.1523, 0.0380], [0.6683, 0.6523, 0.9620], [0.4859, 0.6610, 0.2443], [0.0141, 0.1610, 0.7557], [0.9859, 0.8390, 0.2443], [0.5141, 0.3390, 0.7557], [0.6880, 0.3470, 0.4637], [0.8120, 0.8470, 0.5363], [0.3120, 0.6530, 0.5363], [0.1880, 0.1530, 0.4637], [0.2641, 0.8312, 0.1540], [0.2074, 0.0246, 0.8834], [0.8593, 0.7734, 0.8838], [0.7756, 0.3339, 0.6395], [0.6816, 0.5125, 0.3868], [0.4040, 0.2567, 0.4034], [0.7244, 0.8339, 0.3605], [0.8184, 0.0125, 0.6132], [0.0960, 0.7567, 0.5966], [0.2359, 0.3312, 0.8460], [0.2926, 0.5246, 0.1166], [0.6407, 0.2734, 0.1162], [0.2244, 0.6661, 0.3605], [0.3184, 0.4875, 0.6132], [0.5960, 0.7433, 0.5966], [0.7359, 0.1688, 0.8460], [0.7926, 0.9754, 0.1166], [0.1407, 0.2266, 0.1162], [0.7641, 0.6688, 0.1540], [0.7074, 0.4754, 0.8834], [0.3593, 0.7266, 0.8838], [0.2756, 0.1661, 0.6395], [0.1816, 0.9875, 0.3868], [0.9040, 0.2433, 0.4034]],
  "sg": "P2_1/c",
  "magmom_total_mub_per_cell": 0.00,
  "e_form_raw_ev_per_atom": -3.297
}

Entry 5:
{
  "formula": "Ca2AlVO5",
  "functional": "meta-GGA SCAN",
  "state": "single point on PBEsol structure",
  "cell": [[-2.4122, -3.9338, -2.6170], [4.6645, -3.0841, 0.3366], [-3.3818, 0.7731, 7.3317]],
  "species": ["Ca", "Ca", "Ca", "Ca", "Al", "Al", "V", "V", "O", "O", "O", "O", "O", "O", "O", "O", "O", "O"],
  "fractional_positions": [[0.1187, 0.1409, 0.2172], [0.4014, 0.4236, 0.7828], [0.9014, 0.8591, 0.7828], [0.6187, 0.5764, 0.2172], [0.2959, 0.8266, 0.5000], [0.7959, 0.1734, 0.5000], [0.4988, 0.0000, 0.0000], [0.9988, 0.5000, 0.0000], [0.6293, 0.8939, 0.5000], [0.1293, 0.1061, 0.5000], [0.6221, 0.2142, 0.2893], [0.3328, 0.7858, 0.7107], [0.1221, 0.5751, 0.2893], [0.8328, 0.4249, 0.7107], [0.2375, 0.2388, 0.9717], [0.2658, 0.7612, 0.0283], [0.7658, 0.7671, 0.0283], [0.7375, 0.2329, 0.9717]],
  "sg": "Ima2",
  "magmom_total_mub_per_cell": 4.00,
  "e_form_raw_ev_per_atom": -3.170
}

Entry 6:
{
  "formula": "CaYAl3O7",
  "functional": "meta-GGA SCAN",
  "state": "single point on PBEsol structure",
  "cell": [[5.0348, 0.0000, 0.0000], [0.0000, 7.6831, 0.0066], [0.0000, -0.0162, 7.6831]],
  "species": ["Ca", "Ca", "Y", "Y", "Al", "Al", "Al", "Al", "Al", "Al", "O", "O", "O", "O", "O", "O", "O", "O", "O", "O", "O", "O", "O", "O"],
  "fractional_positions": [[0.4831, 0.6601, 0.3399], [0.4831, 0.3399, 0.6601], [0.5168, 0.1597, 0.1597], [0.5168, 0.8403, 0.8403], [0.0002, 0.0000, 0.5000], [0.0002, 0.5000, 0.0000], [0.0421, 0.8561, 0.1439], [0.9569, 0.3534, 0.3534], [0.0421, 0.1439, 0.8561], [0.9569, 0.6466, 0.6466], [0.2032, 0.9096, 0.3392], [0.7931, 0.3991, 0.1547], [0.2032, 0.0904, 0.6608], [0.7931, 0.6009, 0.8453], [0.7931, 0.8453, 0.6009], [0.2032, 0.3392, 0.9096], [0.7931, 0.1547, 0.3991], [0.2032, 0.6608, 0.0904], [0.6969, 0.8693, 0.1307], [0.3011, 0.3463, 0.3463], [0.6969, 0.1307, 0.8693], [0.3011, 0.6537, 0.6537], [0.8166, 0.5000, 0.5000], [0.2038, 0.0000, 0.0000]],
  "sg": "Cmm2",
  "magmom_total_mub_per_cell": 0.01,
  "e_form_raw_ev_per_atom": -3.478,
  "e_above_lowest_polymorph_ev_per_atom": 0.0038
}

Entry 7:
{
  "formula": "CaYAl3O7",
  "functional": "meta-GGA SCAN",
  "state": "single point on PBEsol structure",
  "cell": [[-0.2753, -3.8498, -3.2362], [5.0039, 3.5220, -4.6154], [5.8120, -3.3893, 3.7150]],
  "species": ["Ca", "Ca", "Y", "Y", "Al", "Al", "Al", "Al", "Al", "Al", "O", "O", "O", "O", "O", "O", "O", "O", "O", "O", "O", "O", "O", "O"],
  "fractional_positions": [[0.4751, 0.1581, 0.4191], [0.5249, 0.6581, 0.5809], [0.4953, 0.8397, 0.0953], [0.5047, 0.3397, 0.9047], [0.0362, 0.3563, 0.6098], [0.9638, 0.8563, 0.3902], [0.0452, 0.6450, 0.8977], [0.9548, 0.1450, 0.1023], [0.0020, 0.4996, 0.2399], [0.9980, 0.9996, 0.7601], [0.6927, 0.3588, 0.6283], [0.3073, 0.8588, 0.3717], [0.7001, 0.6444, 0.9042], [0.2999, 0.1444, 0.0958], [0.8047, 0.0107, 0.2560], [0.1953, 0.5107, 0.7440], [0.1748, 0.3913, 0.4057], [0.8252, 0.8913, 0.5943], [0.2291, 0.5806, 0.0872], [0.7709, 0.0806, 0.9128], [0.8015, 0.3491, 0.1273], [0.1985, 0.8491, 0.8727], [0.7959, 0.6662, 0.3179], [0.2041, 0.1662, 0.6821]],
  "sg": "P2_1",
  "magmom_total_mub_per_cell": 0.00,
  "e_form_raw_ev_per_atom": -3.482,
  "e_above_lowest_polymorph_ev_per_atom": 0.0000
}

Entry 8:
{
  "formula": "Ca14Al12Zn4O35",
  "functional": "meta-GGA SCAN",
  "state": "single point on PBEsol structure",
  "cell": [[-6.0679, -6.9340, -5.0207], [-5.9144, -6.7241, 5.4693], [-10.4349, 1.0972, 0.1307]],
  "species": ["Ca", "Ca", "Ca", "Ca", "Ca", "Ca", "Ca", "Ca", "Ca", "Ca", "Ca", "Ca", "Ca", "Ca", "Al", "Al", "Al", "Al", "Al", "Al", "Al", "Al", "Al", "Al", "Al", "Al", "Zn", "Zn", "Zn", "Zn", "O", "O", "O", "O", "O", "O", "O", "O", "O", "O", "O", "O", "O", "O", "O", "O", "O", "O", "O", "O", "O", "O", "O", "O", "O", "O", "O", "O", "O", "O", "O", "O", "O", "O", "O"],
  "fractional_positions": [[0.2176, 0.7824, 0.7824], [0.7824, 0.2176, 0.2176], [0.2176, 0.2176, 0.7824], [0.7824, 0.7824, 0.2176], [0.7824, 0.2176, 0.7824], [0.2176, 0.7824, 0.2176], [0.3860, 0.3860, 0.8419], [0.8419, 0.3860, 0.3860], [0.3860, 0.3860, 0.3860], [0.3860, 0.8419, 0.3860], [0.6128, 0.6128, 0.1615], [0.1615, 0.6128, 0.6128], [0.6128, 0.6128, 0.6128], [0.6128, 0.1615, 0.6128], [0.5000, 0.5000, 0.5000], [0.8616, 0.8616, 0.4152], [0.4152, 0.8616, 0.8616], [0.8616, 0.8616, 0.8616], [0.8616, 0.4152, 0.8616], [0.9943, 0.5057, 0.5057], [0.5057, 0.9943, 0.9943], [0.9943, 0.9943, 0.5057], [0.5057, 0.5057, 0.9943], [0.5057, 0.9943, 0.5057], [0.9943, 0.5057, 0.9943], [0.0000, 0.0000, 0.0000], [0.1721, 0.1721, 0.4837], [0.4837, 0.1721, 0.1721], [0.1721, 0.1721, 0.1721], [0.1721, 0.4837, 0.1721], [0.6301, 0.3699, 0.3699], [0.3699, 0.6301, 0.6301], [0.6301, 0.6301, 0.3699], [0.3699, 0.3699, 0.6301], [0.3699, 0.6301, 0.3699], [0.6301, 0.3699, 0.6301], [0.9314, 0.9314, 0.2057], [0.2057, 0.9314, 0.9314], [0.9314, 0.9314, 0.9314], [0.9314, 0.2057, 0.9314], [0.1553, 0.9577, 0.5486], [0.5486, 0.3384, 0.1553], [0.9577, 0.1553, 0.3384], [0.3384, 0.1553, 0.5486], [0.3384, 0.5486, 0.9577], [0.9577, 0.5486, 0.1553], [0.5486, 0.9577, 0.3384], [0.1553, 0.3384, 0.9577], [0.9577, 0.3384, 0.5486], [0.1553, 0.5486, 0.3384], [0.5486, 0.1553, 0.9577], [0.3384, 0.9577, 0.1553], [0.4678, 0.8343, 0.6852], [0.6852, 0.0127, 0.4678], [0.8343, 0.4678, 0.0127], [0.0127, 0.4678, 0.6852], [0.0127, 0.6852, 0.8343], [0.8343, 0.6852, 0.4678], [0.6852, 0.8343, 0.0127], [0.4678, 0.0127, 0.8343], [0.8343, 0.0127, 0.6852], [0.4678, 0.6852, 0.0127], [0.6852, 0.4678, 0.8343], [0.0127, 0.8343, 0.4678], [0.2500, 0.2500, 0.2500]],
  "sg": "F23",
  "magmom_total_mub_per_cell": 0.00,
  "e_form_raw_ev_per_atom": -3.070
}

Entry 9:
{
  "formula": "CaAlOs",
  "functional": "meta-GGA SCAN",
  "state": "single point on PBEsol structure",
  "cell": [[-0.5703, 1.3495, -4.1822], [-0.5720, -2.9785, -3.2308], [-3.9587, -0.4260, -1.9453]],
  "species": ["Ca", "Os", "Al"],
  "fractional_positions": [[0.5000, 0.5000, 0.5000], [0.2500, 0.2500, 0.2500], [0.0000, 0.0000, 0.0000]],
  "sg": "F-43m",
  "e_form_mev_per_atom": 349,
  "magmom_total_mub_per_cell": 0.00
}

Entry 10:
{
  "formula": "CaAl2Os",
  "functional": "meta-GGA SCAN",
  "state": "single point on PBEsol structure",
  "cell": [[4.5228, 0.0000, 0.0000], [2.2614, 3.9168, 0.0000], [2.2614, 1.3056, 3.6928]],
  "species": ["Ca", "Os", "Al", "Al"],
  "fractional_positions": [[0.0000, 0.0000, 0.0000], [0.5000, 0.5000, 0.5000], [0.2500, 0.2500, 0.2500], [0.7500, 0.7500, 0.7500]],
  "sg": "Fm-3m",
  "e_form_mev_per_atom": -166,
  "magmom_total_mub_per_cell": 0.00
}

Entry 11:
{
  "formula": "CaAlOs2",
  "functional": "meta-GGA SCAN",
  "state": "single point on PBEsol structure",
  "cell": [[3.0122, 0.0000, 0.0000], [0.0000, 4.3925, 0.0000], [0.0000, 0.0000, 4.7871]],
  "species": ["Ca", "Os", "Os", "Al"],
  "fractional_positions": [[0.0000, 0.5000, 0.5000], [0.0000, 0.0000, 0.0000], [0.5000, 0.0000, 0.5000], [0.5000, 0.5000, 0.0000]],
  "sg": "Pmmm",
  "e_form_mev_per_atom": 380,
  "magmom_total_mub_per_cell": 0.00
}

Entry 12:
{
  "formula": "CaAlOs4",
  "functional": "meta-GGA SCAN",
  "state": "single point on PBEsol structure",
  "cell": [[-3.9278, -2.6565, -2.1123], [-2.2837, -3.8198, 2.6721], [-4.8252, 0.6236, 1.8098]],
  "species": ["Al", "Ca", "Os", "Os", "Os", "Os"],
  "fractional_positions": [[0.7500, 0.7500, 0.7500], [0.0000, 0.0000, 0.0000], [0.3754, 0.3754, 0.3754], [0.3754, 0.3754, 0.8737], [0.8737, 0.3754, 0.3754], [0.3754, 0.8737, 0.3754]],
  "sg": "F-43m",
  "e_form_mev_per_atom": 212,
  "magmom_total_mub_per_cell": 0.00
}